# LiMg2Re

An optimized crystal structure of LiMg2Re (GGA-PBEsol, the Alexandria database).

The spin magnetization comes out at 0.00 Bohr magnetons per cell. For the density of states at the Fermi level, the calculation gives 0.59 states/eV per atom. The formation enthalpy at 0 K is 0.375 eV per atom.

Cell: 5.5876 5.5876 5.5876 Å, 151.30 128.92 59.64°
Sites, in units of the cell vectors:
1 Li 0.0000 0.0000 0.0000
2 Mg 0.2457 0.7457 0.5000
3 Mg 0.5121 0.5121 0.0000
4 Re 0.7614 0.2614 0.5000